1.
The following is a DFT calculation (GGA-PBE) of a relaxed structure of CsLa3Zr.

a = 6.037 Å, b = 6.037 Å, c = 6.037 Å
α = 90.00°, β = 90.00°, γ = 90.00°
Atoms (fractional coordinates):
Zr (0.000, 0.000, 0.000)
La (0.000, 0.000, 0.500)
La (0.500, 0.000, 0.000)
Cs (0.500, 0.500, 0.500)
La (0.000, 0.500, 0.000)

Summary:
total moment: 0.0 μB per cell
space group: Pm-3m (221)

---

2.
The following is a DFT calculation (GGA-PBE) of a relaxed structure of CsLa2Zr2.

a = 4.173 Å, b = 4.173 Å, c = 12.785 Å
α = 80.61°, β = 80.61°, γ = 90.00°
Atoms (fractional coordinates):
La (0.647, 0.647, 0.706)
La (0.353, 0.353, 0.294)
Cs (0.000, 0.000, 0.000)
Zr (0.750, 0.250, 0.500)
Zr (0.250, 0.750, 0.500)

Summary:
total moment: 0.0 μB per cell
offset from the most stable computed form: 24 meV/atom
space group: I4/mmm (139)

---

3.
The following is a DFT calculation (GGA-PBE) of a relaxed structure of CsLa2Zr2.

a = 10.028 Å, b = 10.028 Å, c = 3.391 Å
α = 90.00°, β = 90.00°, γ = 90.00°
Atoms (fractional coordinates):
La (0.687, 0.187, 0.000)
Zr (0.102, 0.602, 0.500)
Cs (0.500, 0.500, 0.000)
Zr (0.602, 0.898, 0.500)
La (0.813, 0.687, 0.000)
La (0.313, 0.813, 0.000)
La (0.187, 0.313, 0.000)
Zr (0.898, 0.398, 0.500)
Cs (0.000, 0.000, 0.000)
Zr (0.398, 0.102, 0.500)

Summary:
total moment: 0.0 μB per cell
offset from the most stable computed form: 0 meV/atom
space group: P4/mbm (127)

---

4.
The following is a DFT calculation (GGA-PBE) of a relaxed structure of CsLaZr3.

a = 5.484 Å, b = 5.484 Å, c = 5.484 Å
α = 90.00°, β = 90.00°, γ = 90.00°
Atoms (fractional coordinates):
Zr (0.000, 0.000, 0.500)
Zr (0.500, 0.000, 0.000)
Zr (0.000, 0.500, 0.000)
La (0.000, 0.000, 0.000)
Cs (0.500, 0.500, 0.500)

Summary:
total moment: 0.0 μB per cell
offset from the most stable computed form: 0 meV/atom
space group: Pm-3m (221)

---

5.
The following is a DFT calculation (GGA-PBE) of a relaxed structure of CsLa2Zr.

a = 5.897 Å, b = 5.897 Å, c = 5.897 Å
α = 60.00°, β = 60.00°, γ = 60.00°
Last column: magnetic moment on the atom in μB.
Atoms (fractional coordinates):
Zr (0.000, 0.000, 0.000)  1.06
Cs (0.500, 0.500, 0.500)  0.04
La (0.750, 0.750, 0.750)  0.20
La (0.250, 0.250, 0.250)  0.20

Summary:
total moment: 2.7 μB per cell
offset from the most stable computed form: 0 meV/atom
space group: Fm-3m (225)

---

6.
The following is a DFT calculation (GGA-PBE) of a relaxed structure of CsLaZr2.

a = 4.512 Å, b = 4.512 Å, c = 12.366 Å
α = 79.49°, β = 79.49°, γ = 90.00°
Atoms (fractional coordinates):
La (0.750, 0.250, 0.500)
Zr (0.375, 0.363, 0.750)
Zr (0.637, 0.125, 0.250)
Cs (0.500, 0.500, 0.000)
Zr (0.875, 0.887, 0.750)
Zr (0.113, 0.625, 0.250)
La (0.000, 0.000, 0.000)
Cs (0.250, 0.750, 0.500)

Summary:
total moment: 0.0 μB per cell
offset from the most stable computed form: 0 meV/atom
space group: I-42d (122)

---

7.
The following is a DFT calculation (GGA-PBE) of a relaxed structure of CsLaZr2.

a = 5.544 Å, b = 5.544 Å, c = 5.544 Å
α = 60.00°, β = 60.00°, γ = 60.00°
Atoms (fractional coordinates):
La (0.500, 0.500, 0.500)
Cs (0.000, 0.000, 0.000)
Zr (0.750, 0.750, 0.750)
Zr (0.250, 0.250, 0.250)

Summary:
total moment: 0.0 μB per cell
offset from the most stable computed form: 17 meV/atom
space group: Fm-3m (225)

---

8.
The following is a DFT calculation (GGA-PBE) of a relaxed structure of Cs5Li.

a = 5.397 Å, b = 8.304 Å, c = 13.684 Å
α = 107.66°, β = 90.00°, γ = 90.00°
Atoms (fractional coordinates):
Li (0.000, 0.000, 0.000)
Cs (0.000, 0.313, 0.626)
Cs (0.500, 0.500, 0.000)
Cs (0.500, 0.124, 0.248)
Cs (0.500, 0.876, 0.752)
Cs (0.000, 0.687, 0.374)

Summary:
total moment: 0.0 μB per cell
space group: Cmmm (65)

---

9.
The following is a DFT calculation (GGA-PBE) of a relaxed structure of CsLi.

a = 10.740 Å, b = 5.909 Å, c = 15.320 Å
α = 90.00°, β = 90.00°, γ = 90.00°
Atoms (fractional coordinates):
Cs (0.946, 0.250, 0.372)
Cs (0.202, 0.250, 0.840)
Cs (0.554, 0.750, 0.872)
Cs (0.702, 0.250, 0.660)
Cs (0.054, 0.750, 0.628)
Li (0.050, 0.250, 0.070)
Li (0.950, 0.750, 0.930)
Cs (0.298, 0.750, 0.340)
Li (0.450, 0.750, 0.570)
Cs (0.798, 0.750, 0.160)
Li (0.336, 0.250, 0.560)
Li (0.164, 0.750, 0.060)
Li (0.836, 0.250, 0.940)
Li (0.550, 0.250, 0.430)
Cs (0.446, 0.250, 0.128)
Li (0.664, 0.750, 0.440)

Summary:
total moment: 0.0 μB per cell
space group: Pnma (62)

---

10.
The following is a DFT calculation (GGA-PBE) of a relaxed structure of Cs2Li.

a = 8.856 Å, b = 8.856 Å, c = 8.856 Å
α = 60.00°, β = 60.00°, γ = 60.00°
Atoms (fractional coordinates):
Cs (0.625, 0.625, 0.125)
Cs (0.125, 0.625, 0.625)
Li (0.000, 0.000, 0.000)
Cs (0.625, 0.125, 0.625)
Li (0.250, 0.250, 0.250)
Cs (0.625, 0.625, 0.625)

Summary:
total moment: 0.0 μB per cell
offset from the most stable computed form: 189 meV/atom
space group: Fd-3m (227)

---

11.
The following is a DFT calculation (GGA-PBE) of a relaxed structure of CsLi.

a = 5.527 Å, b = 7.669 Å, c = 18.584 Å
α = 90.00°, β = 90.00°, γ = 90.00°
Atoms (fractional coordinates):
Cs (0.500, 0.529, 0.000)
Li (0.500, 0.952, 0.500)
Li (0.000, 0.048, 0.000)
Cs (0.000, 0.471, 0.500)
Li (0.000, 0.960, 0.420)
Li (0.500, 0.040, 0.080)
Cs (0.500, 0.246, 0.706)
Cs (0.000, 0.754, 0.794)
Li (0.500, 0.040, 0.920)
Cs (0.500, 0.246, 0.294)
Cs (0.000, 0.754, 0.206)
Li (0.000, 0.960, 0.580)

Summary:
total moment: 0.0 μB per cell
space group: Pmmn (59)

---

12.
The following is a DFT calculation (GGA-PBE) of a relaxed structure of CsLi6.

a = 6.936 Å, b = 6.936 Å, c = 6.936 Å
α = 109.47°, β = 109.47°, γ = 109.47°
Atoms (fractional coordinates):
Li (0.750, 0.250, 0.500)
Li (0.500, 0.750, 0.250)
Li (0.750, 0.500, 0.250)
Li (0.250, 0.500, 0.750)
Li (0.500, 0.250, 0.750)
Cs (0.000, 0.000, 0.000)
Li (0.250, 0.750, 0.500)

Summary:
total moment: 0.0 μB per cell
space group: Im-3m (229)

---

13.
The following is a DFT calculation (GGA-PBE) of a relaxed structure of Cs2Li.

a = 5.122 Å, b = 5.122 Å, c = 9.692 Å
α = 105.47°, β = 105.47°, γ = 89.90°
Atoms (fractional coordinates):
Cs (0.135, 0.135, 0.269)
Cs (0.865, 0.865, 0.731)
Li (0.500, 0.500, 0.000)

Summary:
total moment: 0.0 μB per cell
offset from the most stable computed form: 0 meV/atom
space group: C2/m (12)

---

14.
The following is a DFT calculation (GGA-PBE) of a relaxed structure of CsLi.

a = 14.813 Å, b = 14.813 Å, c = 4.852 Å
α = 90.00°, β = 90.00°, γ = 90.00°
Atoms (fractional coordinates):
Cs (0.610, 0.292, 0.500)
Cs (0.902, 0.211, 0.000)
Cs (0.211, 0.098, 0.000)
Cs (0.708, 0.610, 0.500)
Cs (0.098, 0.789, 0.000)
Li (0.431, 0.932, 0.000)
Li (0.565, 0.929, 0.500)
Cs (0.390, 0.708, 0.500)
Cs (0.789, 0.902, 0.000)
Li (0.068, 0.431, 0.000)
Li (0.435, 0.071, 0.500)
Cs (0.292, 0.390, 0.500)
Li (0.929, 0.435, 0.500)
Li (0.071, 0.565, 0.500)
Li (0.569, 0.068, 0.000)
Li (0.932, 0.569, 0.000)

Summary:
total moment: 0.0 μB per cell
space group: P4/m (83)

---

15.
The following is a DFT calculation (GGA-PBE) of a relaxed structure of CsLi.

a = 4.542 Å, b = 4.543 Å, c = 12.032 Å
α = 79.27°, β = 79.19°, γ = 89.86°
Atoms (fractional coordinates):
Li (0.675, 0.697, 0.931)
Cs (0.822, 0.338, 0.631)
Li (0.175, 0.196, 0.931)
Cs (0.533, 0.057, 0.230)

Summary:
total moment: 0.0 μB per cell
space group: P1 (1)

---

16.
The following is a DFT calculation (GGA-PBE) of a relaxed structure of CsLi.

a = 8.272 Å, b = 8.272 Å, c = 8.063 Å
α = 90.00°, β = 90.00°, γ = 90.00°
Atoms (fractional coordinates):
Cs (0.314, 0.686, 0.000)
Li (0.633, 0.367, 0.500)
Li (0.367, 0.633, 0.500)
Cs (0.186, 0.186, 0.500)
Li (0.133, 0.133, 0.000)
Cs (0.814, 0.814, 0.500)
Li (0.867, 0.867, 0.000)
Cs (0.686, 0.314, 0.000)

Summary:
total moment: 0.0 μB per cell
space group: P4_2/mnm (136)

---

17.
The following is a DFT calculation (GGA-PBE) of a relaxed structure of CsLi2.

a = 7.137 Å, b = 7.137 Å, c = 7.137 Å
α = 60.00°, β = 60.00°, γ = 60.00°
Atoms (fractional coordinates):
Li (0.625, 0.625, 0.625)
Cs (0.250, 0.250, 0.250)
Li (0.125, 0.625, 0.625)
Li (0.625, 0.625, 0.125)
Cs (0.000, 0.000, 0.000)
Li (0.625, 0.125, 0.625)

Summary:
total moment: 0.0 μB per cell
offset from the most stable computed form: 0 meV/atom
space group: Fd-3m (227)

---

18.
The following is a DFT calculation (GGA-PBE) of a relaxed structure of CsLi.

a = 14.831 Å, b = 14.831 Å, c = 5.487 Å
α = 90.00°, β = 90.00°, γ = 90.00°
Atoms (fractional coordinates):
Cs (0.740, 0.000, 0.500)
Cs (0.000, 0.260, 0.500)
Li (0.779, 0.221, 0.000)
Cs (0.000, 0.740, 0.500)
Li (0.721, 0.721, 0.500)
Cs (0.500, 0.240, 0.000)
Li (0.279, 0.279, 0.500)
Li (0.721, 0.279, 0.500)
Cs (0.240, 0.500, 0.000)
Cs (0.500, 0.760, 0.000)
Li (0.279, 0.721, 0.500)
Cs (0.760, 0.500, 0.000)
Li (0.779, 0.779, 0.000)
Li (0.221, 0.779, 0.000)
Li (0.221, 0.221, 0.000)
Cs (0.260, 0.000, 0.500)

Summary:
total moment: 0.0 μB per cell
space group: I4/mmm (139)

---

19.
The following is a DFT calculation (GGA-PBE) of a relaxed structure of CsLi.

a = 4.508 Å, b = 4.509 Å, c = 11.659 Å
α = 90.00°, β = 90.77°, γ = 90.00°
Atoms (fractional coordinates):
Cs (0.247, 0.250, 0.298)
Li (0.749, 0.750, 0.031)
Li (0.251, 0.250, 0.969)
Cs (0.753, 0.750, 0.702)

Summary:
total moment: 0.0 μB per cell
space group: P2_1/m (11)

---

20.
The following is a DFT calculation (GGA-PBE) of a relaxed structure of CsLi.

a = 9.402 Å, b = 9.402 Å, c = 9.402 Å
α = 90.00°, β = 90.00°, γ = 90.00°
Atoms (fractional coordinates):
Cs (0.500, 0.000, 0.500)
Li (0.750, 0.250, 0.750)
Cs (0.000, 0.000, 0.000)
Li (0.750, 0.750, 0.250)
Li (0.250, 0.250, 0.250)
Cs (0.500, 0.500, 0.000)
Li (0.250, 0.750, 0.750)
Cs (0.000, 0.500, 0.500)

Summary:
total moment: 0.0 μB per cell
space group: F-43m (216)

---

21.
The following is a DFT calculation (GGA-PBE) of a relaxed structure of CsLi.

a = 4.491 Å, b = 4.491 Å, c = 14.077 Å
α = 90.00°, β = 90.00°, γ = 120.00°
Atoms (fractional coordinates):
Li (0.667, 0.333, 0.907)
Li (0.333, 0.667, 0.407)
Cs (0.333, 0.667, 0.675)
Cs (0.667, 0.333, 0.175)

Summary:
total moment: 0.0 μB per cell
space group: P6_3mc (186)

---

22.
The following is a DFT calculation (GGA-PBE) of a relaxed structure of Cs3Li.

a = 5.416 Å, b = 5.015 Å, c = 13.786 Å
α = 90.00°, β = 90.00°, γ = 90.00°
Atoms (fractional coordinates):
Cs (0.000, 0.500, 0.456)
Cs (0.500, 0.500, 0.130)
Li (0.000, 0.000, 0.985)
Cs (0.500, 0.000, 0.762)

Summary:
total moment: 0.0 μB per cell
space group: Pmm2 (25)

---

23.
The following is a DFT calculation (GGA-PBE) of a relaxed structure of CsLi.

a = 16.914 Å, b = 5.226 Å, c = 8.457 Å
α = 90.00°, β = 90.00°, γ = 90.00°
Atoms (fractional coordinates):
Cs (0.000, 0.752, 0.952)
Cs (0.500, 0.248, 0.452)
Li (0.413, 0.748, 0.095)
Li (0.000, 0.752, 0.474)
Li (0.587, 0.748, 0.095)
Cs (0.784, 0.249, 0.193)
Cs (0.716, 0.751, 0.693)
Cs (0.216, 0.249, 0.193)
Li (0.500, 0.248, 0.974)
Li (0.087, 0.252, 0.595)
Li (0.913, 0.252, 0.595)
Cs (0.284, 0.751, 0.693)

Summary:
total moment: 0.0 μB per cell
space group: Pmn2_1 (31)

---

24.
The following is a DFT calculation (GGA-PBE) of a relaxed structure of CsLi.

a = 12.392 Å, b = 20.089 Å, c = 7.756 Å
α = 90.00°, β = 90.00°, γ = 90.00°
Atoms (fractional coordinates):
Cs (0.331, 0.000, 0.000)
Li (0.250, 0.326, 0.750)
Cs (0.081, 0.250, 0.250)
Li (0.000, 0.576, 0.500)
Cs (0.169, 0.000, 0.500)
Li (0.500, 0.424, 0.000)
Li (0.750, 0.826, 0.750)
Li (0.500, 0.076, 0.500)
Li (0.750, 0.174, 0.250)
Cs (0.669, 0.000, 0.000)
Cs (0.081, 0.750, 0.750)
Li (0.750, 0.326, 0.250)
Li (0.000, 0.424, 0.500)
Cs (0.581, 0.750, 0.250)
Cs (0.669, 0.500, 0.500)
Cs (0.919, 0.750, 0.250)
Li (0.000, 0.924, 0.000)
Cs (0.169, 0.500, 0.000)
Li (0.250, 0.174, 0.750)
Cs (0.331, 0.500, 0.500)
Li (0.000, 0.076, 0.000)
Li (0.500, 0.924, 0.500)
Li (0.250, 0.826, 0.250)
Cs (0.419, 0.250, 0.250)
Li (0.750, 0.674, 0.750)
Cs (0.919, 0.250, 0.750)
Cs (0.831, 0.500, 0.000)
Li (0.250, 0.674, 0.250)
Cs (0.581, 0.250, 0.750)
Cs (0.419, 0.750, 0.750)
Cs (0.831, 0.000, 0.500)
Li (0.500, 0.576, 0.000)

Summary:
total moment: 0.0 μB per cell
space group: Fddd (70)

---

no.,energy relative to the elements (eV/atom)
1,0.5235
2,0.5343
3,0.5106
4,1.4177
5,0.7578
6,1.0882
7,1.1056
8,0.0890
9,0.1560
10,0.3382
11,0.1850
12,0.3083
13,0.1488
14,0.1700
15,0.1669
16,0.2765
17,0.1723
18,0.2060
19,0.1627
20,0.4623
21,0.3693
22,0.1604
23,0.1699
24,0.2103